LuAlFe after structural relaxation. Source: Alexandria via LeMat-Bulk, functional GGA-PBE.

Summary:
Energy of formation = -0.351 eV per atom
DOS(E_F) = 0.682 states/eV per atom
Electronic total energy = -5.9259 eV/atom

a = 8.5513 Å, b = 5.3209 Å, c = 9.1018 Å
α = 90.00°, β = 90.00°, γ = 90.00°
Space group Amm2 (No. 38)
Symmetry-distinct sites (fractional):
Lu 0.1756 0.0000 0.0000
Lu 0.3016 0.0000 0.6633
Al 0.2330 0.0000 0.3255
Al 0.5000 0.2459 0.9181
Fe 0.0000 0.0000 0.5041
Fe 0.0000 0.2305 0.7386
Fe 0.5000 0.0000 0.1654